# HfP2HRh

A relaxed HfP2HRh crystal (GGA-PBEsol, Alexandria via LeMat-Bulk).

Unit cell a=4.7732 b=4.9054 c=4.9054 alpha=90.00 beta=90.00 gamma=90.00
Site moments in Bohr magnetons follow the coordinates.
Sites, in units of the cell vectors:
H: 0.5000 0.5000 0.5000  0.31
P: 0.0000 0.5000 0.0000  0.00
Rh: 0.5000 0.0000 0.0000  0.01
P: 0.0000 0.0000 0.5000  0.00
Hf: 0.0000 0.0000 0.0000  0.03

Calculated values
- Space-group type: P4/mmm (123)
- Calculated volume: 115 Å³ per cell
- Electronic total energy: -5.438 eV per atom
- M_tot: 0.160 μB per atom

=====

# Hf3HPb

A relaxed Hf3HPb crystal (GGA-PBEsol, Alexandria via LeMat-Bulk).

Unit cell a=4.4137 b=4.4137 c=4.4137 alpha=90.00 beta=90.00 gamma=90.00
Sites, in units of the cell vectors:
Hf: 0.0000 0.5000 0.0000
Hf: 0.5000 0.0000 0.0000
Hf: 0.0000 0.0000 0.5000
H: 0.0000 0.0000 0.0000
Pb: 0.5000 0.5000 0.5000

Calculated values
- Space-group type: Pm-3m (221)
- Calculated volume: 86 Å³ per cell
- Electronic total energy: -7.958 eV per atom
- M_tot: 0.000 μB per atom